Record 1
First-principles (GGA-PBE) data for a relaxed CaMnAs crystal, as listed in Alexandria via LeMat-Bulk.

Values from the calculation:
The calculation puts the formation energy at -0.33 eV per atom. The calculation puts the calculated total energy at -0.2057 hartree per atom. As for the density of states at the Fermi level: 0.681 states/eV per atom.

Cell: 4.594 4.594 4.594 Å, 60.00 60.00 60.00°
Fractional coordinates of all 3 atoms:
Ca 0.000 0.000 0.000
Mn 0.500 0.500 0.500
As 0.250 0.250 0.250

Record 2
First-principles (GGA-PBE) data for a relaxed CaMn2As crystal, as listed in Alexandria via LeMat-Bulk.

Values from the calculation:
The calculation puts the formation energy at 0.23 eV per atom. The calculation puts the calculated total energy at -0.2210 hartree per atom. As for the density of states at the Fermi level: 0.635 states/eV per atom.

Cell: 4.569 4.569 4.569 Å, 119.88 119.88 90.20°
Fractional coordinates of all 4 atoms:
Ca 0.000 0.000 0.000
Mn 0.250 0.750 0.500
Mn 0.500 0.500 0.000
As 0.750 0.250 0.500

Record 3
First-principles (GGA-PBE) data for a relaxed CaMnAs crystal, as listed in Alexandria via LeMat-Bulk.

Values from the calculation:
The calculation puts the formation energy at -0.21 eV per atom. The calculation puts the calculated total energy at -0.2016 hartree per atom. As for the density of states at the Fermi level: 0.966 states/eV per atom.

Cell: 5.758 5.758 5.758 Å, 145.79 145.79 49.15°
Fractional coordinates of all 3 atoms:
Ca 0.000 0.000 0.000
Mn 0.713 0.713 0.000
As 0.290 0.290 0.000

Repeat the second record exactly.
First-principles (GGA-PBE) data for a relaxed CaMn2As crystal, as listed in Alexandria via LeMat-Bulk.

Values from the calculation:
The calculation puts the formation energy at 0.23 eV per atom. The calculation puts the calculated total energy at -0.2210 hartree per atom. As for the density of states at the Fermi level: 0.635 states/eV per atom.

Cell: 4.569 4.569 4.569 Å, 119.88 119.88 90.20°
Fractional coordinates of all 4 atoms:
Ca 0.000 0.000 0.000
Mn 0.250 0.750 0.500
Mn 0.500 0.500 0.000
As 0.750 0.250 0.500